No. 1
A relaxed PrCdPd crystal, computed with PBE.

**Formation energy**: -664 meV per atom

Geometry as CIF:
```
data_PrCdPd
_chemical_formula_sum 'Pr3 Cd3 Pd3'
_cell_length_a 7.7656
_cell_length_b 7.7656
_cell_length_c 4.0844
_cell_angle_alpha 90.00
_cell_angle_beta 90.00
_cell_angle_gamma 120.00
_symmetry_space_group_name_H-M 'P -6 2 m'
_symmetry_Int_Tables_number 189
_symmetry_space_group_name_Hall 'P -6 -2'
loop_
_atom_site_label
_atom_site_fract_x
_atom_site_fract_y
_atom_site_fract_z
_atom_site_occupancy
Pr1 0.0000 0.5920 0.0000 1
Cd1 0.0000 0.2508 0.5000 1
Pd1 0.0000 0.0000 0.0000 1
Pd2 0.3333 0.6667 0.5000 1
```

No. 2
A relaxed AcYPuO6 crystal, computed with PBE.

**Formation energy (no corrections)**: -3.0893 eV/atom

Geometry as CIF:
```
data_AcYPuO6
_chemical_formula_sum 'Ac2 Y2 Pu2 O12'
_cell_length_a 5.8238
_cell_length_b 5.8238
_cell_length_c 10.3303
_cell_angle_alpha 90.00
_cell_angle_beta 90.00
_cell_angle_gamma 120.00
_symmetry_space_group_name_H-M 'P -3 1 c'
_symmetry_Int_Tables_number 163
_symmetry_space_group_name_Hall '-P 3 2c'
loop_
_atom_site_label
_atom_site_fract_x
_atom_site_fract_y
_atom_site_fract_z
_atom_site_occupancy
Ac1 0.0000 0.0000 0.0000 1
Y1 0.3333 0.6667 0.2500 1
Pu1 0.3333 0.6667 0.7500 1
O1 0.0258 0.3729 0.6415 1
```

No. 3
A relaxed KVSn3 crystal, computed with PBE.

**Formation energy**: -50 meV per atom

Geometry as CIF:
```
data_KVSn3
_chemical_formula_sum 'K1 V1 Sn3'
_cell_length_a 5.2236
_cell_length_b 5.2236
_cell_length_c 5.2236
_cell_angle_alpha 90.00
_cell_angle_beta 90.00
_cell_angle_gamma 90.00
_symmetry_space_group_name_H-M 'P m -3 m'
_symmetry_Int_Tables_number 221
_symmetry_space_group_name_Hall '-P 4 2 3'
loop_
_atom_site_label
_atom_site_fract_x
_atom_site_fract_y
_atom_site_fract_z
_atom_site_occupancy
K1 0.0000 0.0000 0.0000 1
V1 0.5000 0.5000 0.5000 1
Sn1 0.0000 0.5000 0.5000 1
```

No. 4
A relaxed Dy2HfTl3S6 crystal, computed with PBE.

**Formation energy (no corrections)**: -1.3511 eV/atom

Geometry as CIF:
```
data_Dy2HfTl3S6
_chemical_formula_sum 'Dy4 Hf2 Tl6 S12'
_cell_length_a 6.7317
_cell_length_b 11.5995
_cell_length_c 8.5992
_cell_angle_alpha 90.00
_cell_angle_beta 108.73
_cell_angle_gamma 90.00
_symmetry_space_group_name_H-M 'C 1 2/m 1'
_symmetry_Int_Tables_number 12
loop_
_symmetry_equiv_pos_as_xyz
'x,y,z'
'-x,-y,-z'
'-x,y,-z'
'x,-y,z'
'x+1/2,y+1/2,z'
'-x+1/2,-y+1/2,-z'
'-x+1/2,y+1/2,-z'
'x+1/2,-y+1/2,z'
loop_
_atom_site_label
_atom_site_fract_x
_atom_site_fract_y
_atom_site_fract_z
_atom_site_occupancy
Dy1 0.0000 0.1663 0.0000 1
Hf1 0.0000 0.5000 0.0000 1
Tl1 0.0000 0.1694 0.5000 1
Tl2 0.0000 0.5000 0.5000 1
S1 0.0839 0.3428 0.8202 1
S2 0.1127 0.0000 0.8171 1
```